Compound: CrRuF3
Source: Alexandria via LeMat-Bulk
Functional: PBE with a Hubbard U
Structure: relaxed

## Properties
**Fermi-level density of states**: 0.6269 states/eV/atom
**ΔE to the lowest computed polymorph**: 0.0000 eV per atom

The structure in POSCAR format:
```
CrRuF3
1.0
4.193 0.000 0.000
0.000 4.193 0.000
0.000 0.000 4.193
Cr Ru F
1 1 3
direct
0.000 0.000 0.000
0.500 0.500 0.500
0.000 0.500 0.500
0.500 0.000 0.500
0.500 0.500 0.000
```